Entry 1:
This record from Alexandria describes crystalline Ga2PH at its relaxed geometry. The functional is PBE.

a = 7.1715 Å, b = 7.1715 Å, c = 7.1715 Å
α = 144.53°, β = 144.53°, γ = 51.03°
Closest atoms and distances in Å follow each position.
Sites, in units of the cell vectors:
Ga: 0.0449 0.6250 0.9199  2 H 2.09
Ga: 0.3750 0.2949 0.4199  2 H 2.09
Ga: 0.7051 0.1250 0.0801  2 H 2.09
Ga: 0.8750 0.9551 0.5801  2 H 2.09
P: 0.2500 0.7500 0.5000  4 Ga 2.43
P: 0.5000 0.5000 0.0000  4 Ga 2.43
H: 0.0000 0.0000 0.0000  4 Ga 2.09
H: 0.7500 0.2500 0.5000  4 Ga 2.09

energy relative to the lowest polymorph listed for this composition = 0 meV/atom

Entry 2:
This record from Alexandria describes crystalline ZrCuTe2 at its relaxed geometry. The functional is PBE.

a = 3.4669 Å, b = 3.4669 Å, c = 8.8311 Å
α = 90.00°, β = 90.00°, γ = 101.03°
Closest atoms and distances in Å follow each position.
Sites, in units of the cell vectors:
Zr: 0.0000 0.0000 0.0000  2 Cu 2.75, 3 Te 2.92-3.06
Cu: 0.5000 0.5000 0.8131  2 Te 2.61, 2 Zr 2.75
Te: 0.0000 0.0000 0.6540  2 Cu 2.61
Te: 0.5000 0.5000 0.2172  2 Zr 2.92

formation energy without anion corrections = -249 meV per atom

Entry 3:
This record from Alexandria describes crystalline MnCoRu at its relaxed geometry. The functional is PBE.

a = 5.6415 Å, b = 5.6415 Å, c = 5.6415 Å
α = 153.52°, β = 153.52°, γ = 37.80°
Closest atoms and distances in Å follow each position.
Sites, in units of the cell vectors:
Mn: 0.0000 0.0000 0.0000  4 Co 2.47, 4 Ru 2.58, 4 Mn 2.58
Co: 0.6556 0.6556 0.0000  4 Mn 2.47, 4 Co 2.58, 4 Ru 2.61
Ru: 0.3300 0.3300 0.0000  4 Mn 2.58, 4 Ru 2.58, 4 Co 2.61

ΔH_f (0 K) = 0.1332 eV per atom
energy relative to the lowest polymorph listed for this composition = 17 meV/atom

Entry 4:
This record from Alexandria describes crystalline V4CrGa at its relaxed geometry. The functional is PBE.

a = 4.9326 Å, b = 4.9326 Å, c = 5.1331 Å
α = 121.27°, β = 121.27°, γ = 51.15°
Closest atoms and distances in Å follow each position.
Sites, in units of the cell vectors:
V: 0.1558 0.1558 0.4818  5 V 2.57-2.65, 2 Cr 2.57, 1 Ga 2.66
V: 0.1818 0.1818 0.0082  5 V 2.48-2.58, 1 Cr 2.48, 2 Ga 2.66
V: 0.8182 0.8182 0.9918  5 V 2.48-2.58, 1 Cr 2.48, 2 Ga 2.66
V: 0.8442 0.8442 0.5182  5 V 2.57-2.65, 2 Cr 2.57, 1 Ga 2.66
Cr: 0.5000 0.5000 0.5000  6 V 2.48-2.57, 2 Ga 2.57
Ga: 0.5000 0.5000 0.0000  2 Cr 2.57, 8 V 2.66-2.86

ΔH_f (0 K) = -0.0640 eV per atom
energy relative to the lowest polymorph listed for this composition = 0 meV/atom

Entry 5:
This record from Alexandria describes crystalline LiFeRu at its relaxed geometry. The functional is PBE.

a = 3.9892 Å, b = 3.9892 Å, c = 2.5538 Å
α = 90.00°, β = 90.00°, γ = 120.00°
Closest atoms and distances in Å follow each position.
Sites, in units of the cell vectors:
Li: 0.0000 0.0000 0.0000  3 Fe 2.41, 3 Ru 2.50, 2 Li 2.55
Fe: 0.3333 0.6667 0.7185  3 Li 2.41, 3 Ru 2.46, 2 Fe 2.55
Ru: 0.6667 0.3333 0.3762  3 Fe 2.46, 3 Li 2.50, 2 Ru 2.55

ΔH_f (0 K) = 0.2783 eV per atom
energy relative to the lowest polymorph listed for this composition = 27 meV/atom

Entry 6:
This record from Alexandria describes crystalline Mg2ScCr at its relaxed geometry. The functional is PBE.

a = 3.5002 Å, b = 3.5002 Å, c = 6.8143 Å
α = 90.00°, β = 90.00°, γ = 90.00°
Closest atoms and distances in Å follow each position.
Sites, in units of the cell vectors:
Mg: 0.0000 0.0000 0.2243  4 Cr 2.91, 1 Mg 3.06, 4 Sc 3.11
Mg: 0.0000 0.0000 0.7757  4 Cr 2.91, 1 Mg 3.06, 4 Sc 3.11
Sc: 0.5000 0.5000 0.5000  8 Mg 3.11, 2 Cr 3.41
Cr: 0.5000 0.5000 0.0000  8 Mg 2.91

ΔH_f (0 K) = 0.2626 eV per atom
energy relative to the lowest polymorph listed for this composition = 89 meV/atom

Entry 7:
This record from Alexandria describes crystalline ZrScFe2 at its relaxed geometry. The functional is PBE.

a = 5.4908 Å, b = 5.4908 Å, c = 5.4908 Å
α = 146.31°, β = 133.16°, γ = 58.93°
Closest atoms and distances in Å follow each position.
Sites, in units of the cell vectors:
Zr: 0.0000 0.0000 0.0000  6 Fe 2.73-3.01, 2 Sc 3.05
Sc: 0.7222 0.2222 0.5000  6 Fe 2.73-3.01, 2 Zr 3.05
Fe: 0.2667 0.7667 0.5000  2 Fe 2.40
Fe: 0.4550 0.4550 0.0000  2 Fe 2.40

ΔH_f (0 K) = -0.0367 eV per atom

Entry 8:
This record from Alexandria describes crystalline Zr2BiI at its relaxed geometry. The functional is PBE.

a = 6.6343 Å, b = 6.6343 Å, c = 6.6343 Å
α = 106.95°, β = 106.95°, γ = 114.65°
Closest atoms and distances in Å follow each position.
Sites, in units of the cell vectors:
Zr: 0.1041 0.1250 0.4791  2 I 2.82, 2 Bi 3.05
Zr: 0.3750 0.8959 0.0209  2 I 2.82, 2 Bi 3.05
Zr: 0.6459 0.6250 0.5209  2 I 2.82, 2 Bi 3.05
Zr: 0.8750 0.3541 0.9791  2 I 2.82, 2 Bi 3.05
Bi: 0.2500 0.7500 0.5000  4 Zr 3.05
Bi: 0.5000 0.5000 0.0000  4 Zr 3.05
I: 0.0000 0.0000 0.0000  4 Zr 2.82
I: 0.7500 0.2500 0.5000  4 Zr 2.82

energy relative to the lowest polymorph listed for this composition = 494 meV/atom
formation energy without anion corrections = 269 meV per atom

Entry 9:
This record from Alexandria describes crystalline K2BAsOs at its relaxed geometry. The functional is PBE.

a = 6.5103 Å, b = 6.5103 Å, c = 3.5870 Å
α = 90.00°, β = 90.00°, γ = 90.00°
Closest atoms and distances in Å follow each position.
Sites, in units of the cell vectors:
K: 0.0000 0.5000 0.0000  2 As 3.26, 2 K 3.59
K: 0.5000 0.0000 0.0000  2 As 3.26, 2 K 3.59
B: 0.0000 0.0000 0.5000  2 As 1.79
As: 0.0000 0.0000 0.0000  2 B 1.79
Os: 0.5000 0.5000 0.5000  2 Os 3.59, 8 K 3.72

ΔH_f (0 K) = 1.4720 eV per atom

Entry 10:
This record from Alexandria describes crystalline Ca7Pb2N2 at its relaxed geometry. The functional is PBE.

a = 6.6708 Å, b = 6.6708 Å, c = 6.8721 Å
α = 90.00°, β = 90.00°, γ = 108.59°
Closest atoms and distances in Å follow each position.
Sites, in units of the cell vectors:
Ca: 0.0000 0.0000 0.0000  2 N 3.26
Ca: 0.0000 0.5000 0.2247  2 N 2.55
Ca: 0.0000 0.5000 0.7753  2 N 2.55
Ca: 0.5000 0.0000 0.2247  2 N 2.55
Ca: 0.5000 0.0000 0.7753  2 N 2.55
Ca: 0.5000 0.5000 0.2074  2 N 2.58, 1 Ca 2.85
Ca: 0.5000 0.5000 0.7926  2 N 2.58, 1 Ca 2.85
Pb: 0.1949 0.1949 0.5000  1 Pb 3.04, 6 Ca 3.11-3.33
Pb: 0.8051 0.8051 0.5000  1 Pb 3.04, 6 Ca 3.11-3.33
N: 0.3013 0.6987 0.0000  6 Ca 2.55-2.58
N: 0.6987 0.3013 0.0000  6 Ca 2.55-2.58

formation energy without anion corrections = -452 meV per atom

Entry 11:
This record from Alexandria describes crystalline AlAgP2 at its relaxed geometry. The functional is PBE.

a = 3.0684 Å, b = 3.0684 Å, c = 6.9546 Å
α = 90.00°, β = 90.00°, γ = 90.00°
Closest atoms and distances in Å follow each position.
Sites, in units of the cell vectors:
Al: 0.0000 0.0000 0.0000  4 Ag 2.80, 5 P 2.87-2.91, 4 Al 3.07
Ag: 0.5000 0.5000 0.7448  4 Al 2.80, 4 Ag 3.07
P: 0.0000 0.0000 0.4182  4 P 2.40
P: 0.5000 0.5000 0.2705  4 P 2.40

ΔH_f (0 K) = 0.2716 eV per atom

Entry 12:
This record from Alexandria describes crystalline Cr2TeSe at its relaxed geometry. The functional is PBE.

a = 7.4449 Å, b = 7.4449 Å, c = 7.4449 Å
α = 132.76°, β = 132.76°, γ = 69.03°
Closest atoms and distances in Å follow each position.
Sites, in units of the cell vectors:
Cr: 0.0955 0.6250 0.9705  2 Se 2.51, 2 Te 2.71
Cr: 0.3750 0.3455 0.4705  2 Se 2.51, 2 Te 2.71
Cr: 0.6545 0.1250 0.0295  2 Se 2.51, 2 Te 2.71
Cr: 0.8750 0.9045 0.5295  2 Se 2.51, 2 Te 2.71
Te: 0.2500 0.7500 0.5000  4 Cr 2.71
Te: 0.5000 0.5000 0.0000  4 Cr 2.71
Se: 0.0000 0.0000 0.0000  4 Cr 2.51
Se: 0.7500 0.2500 0.5000  4 Cr 2.51

energy relative to the lowest polymorph listed for this composition = 117 meV/atom
formation energy without anion corrections = -40 meV per atom

Entry 13:
This record from Alexandria describes crystalline Pm6Sm2Dy3Er at its relaxed geometry. The functional is PBE.

a = 6.2557 Å, b = 6.2557 Å, c = 11.9127 Å
α = 95.01°, β = 95.01°, γ = 119.99°
Closest atoms and distances in Å follow each position.
Sites, in units of the cell vectors:
Pm: 0.0839 0.4165 0.7513  3 Dy 3.58-3.59, 6 Pm 3.60-3.62, 1 Er 3.61, 2 Sm 3.61
Pm: 0.2487 0.2487 0.2484  3 Dy 3.58-3.59, 6 Pm 3.60-3.62, 1 Er 3.61, 2 Sm 3.62
Pm: 0.4165 0.0839 0.7513  3 Dy 3.58-3.59, 6 Pm 3.60-3.62, 1 Er 3.61, 2 Sm 3.61
Pm: 0.5835 0.9161 0.2487  3 Dy 3.58-3.59, 6 Pm 3.60-3.62, 1 Er 3.61, 2 Sm 3.61
Pm: 0.7513 0.7513 0.7516  3 Dy 3.58-3.59, 6 Pm 3.60-3.62, 1 Er 3.61, 2 Sm 3.62
Pm: 0.9161 0.5835 0.2487  3 Dy 3.58-3.59, 6 Pm 3.60-3.62, 1 Er 3.61, 2 Sm 3.61
Sm: 0.3333 0.6667 0.5000  6 Pm 3.61-3.62, 3 Er 3.61, 3 Sm 3.61
Sm: 0.6667 0.3333 0.5000  6 Pm 3.61-3.62, 3 Er 3.61, 3 Sm 3.61
Dy: 0.1665 0.8335 0.0000  6 Pm 3.58-3.59, 6 Dy 3.61
Dy: 0.5000 0.5000 0.0000  6 Pm 3.58-3.59, 6 Dy 3.61
Dy: 0.8335 0.1665 0.0000  6 Pm 3.58-3.59, 6 Dy 3.61
Er: 0.0000 0.0000 0.5000  6 Pm 3.61, 6 Sm 3.61

ΔH_f (0 K) = 0.0130 eV per atom